Entry 1:
Entry from Alexandria: a relaxed structure of CaPrAg2 (PBE).

a = 5.283 Å, b = 5.283 Å, c = 5.283 Å
α = 60.00°, β = 60.00°, γ = 60.00°
Element x y z (fractional)
1 Pr 0.000 0.000 0.000
2 Ca 0.500 0.500 0.500
3 Ag 0.250 0.250 0.250
4 Ag 0.750 0.750 0.750

Results
**Energy relative to the lowest polymorph listed for this composition**: 0.000 eV/atom
**Formation enthalpy at 0 K**: -307.1 meV per atom

=====

Entry 2:
Entry from Alexandria: a relaxed structure of Ca2PrAg2 (PBE).

a = 3.723 Å, b = 5.422 Å, c = 14.381 Å
α = 90.00°, β = 97.40°, γ = 90.00°
Element x y z (fractional)
1 Ca 0.044 0.750 0.090
2 Ca 0.956 0.250 0.910
3 Ca 0.225 0.750 0.450
4 Ca 0.775 0.250 0.550
5 Pr 0.861 0.750 0.720
6 Pr 0.139 0.250 0.280
7 Ag 0.634 0.750 0.270
8 Ag 0.366 0.250 0.730
9 Ag 0.452 0.750 0.902
10 Ag 0.548 0.250 0.098

Results
**Energy relative to the lowest polymorph listed for this composition**: 0.000 eV/atom
**Formation enthalpy at 0 K**: -195.7 meV per atom

=====

Entry 3:
Entry from Alexandria: a relaxed structure of CaPr3Ag3 (PBE).

a = 7.534 Å, b = 7.534 Å, c = 7.280 Å
α = 90.82°, β = 90.82°, γ = 94.49°
Element x y z (fractional)
1 Ca 0.741 0.741 0.870
2 Ca 0.259 0.259 0.130
3 Pr 0.642 0.642 0.377
4 Pr 0.180 0.820 0.500
5 Pr 0.820 0.180 0.500
6 Pr 0.263 0.737 0.000
7 Pr 0.737 0.263 0.000
8 Pr 0.358 0.358 0.623
9 Ag 0.932 0.932 0.182
10 Ag 0.996 0.488 0.729
11 Ag 0.488 0.996 0.729
12 Ag 0.004 0.512 0.271
13 Ag 0.512 0.004 0.271
14 Ag 0.068 0.068 0.818

Results
**Formation enthalpy at 0 K**: -129.3 meV per atom

=====

Entry 4:
Entry from Alexandria: a relaxed structure of CaPr2Ag6 (PBE).

a = 3.611 Å, b = 8.343 Å, c = 8.343 Å
α = 60.07°, β = 90.03°, γ = 90.03°
Element x y z (fractional)
1 Ca 0.000 0.000 0.000
2 Pr 0.000 0.333 0.333
3 Pr 0.000 0.667 0.667
4 Ag 0.499 0.668 0.000
5 Ag 0.501 0.000 0.332
6 Ag 0.501 0.332 0.000
7 Ag 0.500 0.668 0.332
8 Ag 0.499 0.000 0.668
9 Ag 0.500 0.332 0.668

Results
**Formation enthalpy at 0 K**: -259.5 meV per atom

=====

Entry 5:
Entry from Alexandria: a relaxed structure of Ca4PrAg5 (PBE).

a = 3.742 Å, b = 3.742 Å, c = 18.526 Å
α = 90.00°, β = 90.00°, γ = 90.00°
Element x y z (fractional)
1 Ca 0.000 0.000 0.203
2 Ca 0.000 0.000 0.402
3 Ca 0.000 0.000 0.598
4 Ca 0.000 0.000 0.797
5 Pr 0.000 0.000 0.000
6 Ag 0.500 0.500 0.101
7 Ag 0.500 0.500 0.303
8 Ag 0.500 0.500 0.500
9 Ag 0.500 0.500 0.697
10 Ag 0.500 0.500 0.899

Results
**Formation enthalpy at 0 K**: -300.9 meV per atom

=====

Entry 6:
Entry from Alexandria: a relaxed structure of CaPrAg (PBE).

a = 7.339 Å, b = 7.339 Å, c = 9.118 Å
α = 114.63°, β = 114.63°, γ = 88.15°
Element x y z (fractional)
1 Ca 0.665 0.090 0.255
2 Ca 0.415 0.340 0.755
3 Ca 0.660 0.585 0.245
4 Ca 0.910 0.335 0.745
5 Pr 0.162 0.088 0.250
6 Pr 0.163 0.588 0.250
7 Pr 0.412 0.838 0.750
8 Pr 0.912 0.838 0.750
9 Ag 0.532 0.957 0.500
10 Ag 0.793 0.718 0.000
11 Ag 0.043 0.468 0.500
12 Ag 0.282 0.207 0.000

Results
**Energy relative to the lowest polymorph listed for this composition**: 0.115 eV/atom
**Formation enthalpy at 0 K**: -29.4 meV per atom

=====

Entry 7:
Entry from Alexandria: a relaxed structure of CaPrAg2 (PBE).

a = 3.744 Å, b = 3.744 Å, c = 7.550 Å
α = 90.00°, β = 90.00°, γ = 90.00°
Element x y z (fractional)
1 Pr 0.500 0.500 0.000
2 Ca 0.500 0.500 0.500
3 Ag 0.000 0.000 0.753
4 Ag 0.000 0.000 0.247

Results
**Energy relative to the lowest polymorph listed for this composition**: 0.022 eV/atom
**Formation enthalpy at 0 K**: -285.2 meV per atom

=====

Entry 8:
Entry from Alexandria: a relaxed structure of CaPr4Ag4 (PBE).

a = 5.965 Å, b = 9.847 Å, c = 9.847 Å
α = 90.00°, β = 90.00°, γ = 90.00°
Element x y z (fractional)
1 Ca 0.000 0.000 0.000
2 Ca 0.500 0.500 0.500
3 Pr 0.394 0.336 0.916
4 Pr 0.894 0.584 0.836
5 Pr 0.394 0.664 0.084
6 Pr 0.106 0.164 0.584
7 Pr 0.606 0.916 0.664
8 Pr 0.106 0.836 0.416
9 Pr 0.894 0.416 0.164
10 Pr 0.606 0.084 0.336
11 Ag 0.609 0.764 0.365
12 Ag 0.609 0.236 0.635
13 Ag 0.109 0.865 0.736
14 Ag 0.891 0.264 0.865
15 Ag 0.891 0.736 0.135
16 Ag 0.391 0.365 0.236
17 Ag 0.391 0.635 0.764
18 Ag 0.109 0.135 0.264

Results
**Formation enthalpy at 0 K**: -65.9 meV per atom

=====

M_tot
In order: 0.0; 0.0; 0.0; 0.0; 0.0; 0.0; 0.0; 0.0
Unit: μB per cell
Raw total energy
In order: -3.428; -3.093; -3.686; -3.445; -3.005; -3.240; -3.406; -3.680
Unit: eV/atom